# PdRhF3

A relaxed structure of PdRhF3 (PBE, Alexandria).

Output
- space group = Pm-3m
- distance to the lowest polymorph of the same formula (meV/atom) = 235.6
- spin magnetization (μB per atom) = 0.40
- total energy (eV/atom) = -4.01
- formation energy without anion corrections (eV per atom) = -0.377
- calculated volume (Å³ per atom) = 15.3

a b c (Å): 4.247 4.247 4.247
angles (deg): 90.00 90.00 90.00
Atoms (fractional coordinates):
1 Pd 0.000 0.000 0.000
2 Rh 0.500 0.500 0.500
3 F 0.000 0.000 0.500
4 F 0.000 0.500 0.000
5 F 0.500 0.000 0.000

=====

# PdRhF6

A relaxed structure of PdRhF6 (PBE, Alexandria).

Output
- space group = P2_1/c
- spin magnetization (μB per atom) = 0.12
- total energy (eV/atom) = -4.35
- formation energy without anion corrections (eV per atom) = -1.377
- calculated volume (Å³ per atom) = 13.4

a b c (Å): 5.088 5.485 9.188
angles (deg): 90.00 122.96 90.00
Atoms (fractional coordinates):
1 Pd 0.000 0.000 0.000
2 Pd 0.000 0.500 0.500
3 Rh 0.500 0.000 0.500
4 Rh 0.500 0.500 0.000
5 F 0.107 0.176 0.429
6 F 0.107 0.324 0.929
7 F 0.264 0.690 0.427
8 F 0.264 0.810 0.927
9 F 0.410 0.040 0.263
10 F 0.410 0.460 0.763
11 F 0.590 0.540 0.237
12 F 0.590 0.960 0.737
13 F 0.736 0.190 0.073
14 F 0.736 0.310 0.573
15 F 0.893 0.676 0.071
16 F 0.893 0.824 0.571

=====

# TaPdRhF2

A relaxed structure of TaPdRhF2 (PBE, Alexandria).

Output
- space group = P4/mmm
- spin magnetization (μB per atom) = 0.33
- total energy (eV/atom) = -5.57
- formation energy without anion corrections (eV per atom) = 0.061
- calculated volume (Å³ per atom) = 17.0

a b c (Å): 3.928 3.928 5.504
angles (deg): 90.00 90.00 90.00
Atoms (fractional coordinates):
1 Ta 0.000 0.000 0.000
2 Pd 0.500 0.500 0.000
3 Rh 0.500 0.500 0.500
4 F 0.000 0.500 0.500
5 F 0.500 0.000 0.500

=====

# Tl2PdRhF6

A relaxed structure of Tl2PdRhF6 (PBE, Alexandria).

Output
- space group = Immm
- spin magnetization (μB per atom) = 0.12
- total energy (eV/atom) = -4.30
- formation energy without anion corrections (eV per atom) = -1.454
- calculated volume (Å³ per atom) = 16.5

a b c (Å): 6.147 6.147 6.147
angles (deg): 119.93 119.63 90.38
Atoms (fractional coordinates):
1 Tl 0.250 0.250 0.000
2 Tl 0.750 0.750 0.000
3 Pd 0.500 0.000 0.500
4 Rh 0.000 0.500 0.500
5 F 0.236 0.262 0.498
6 F 0.236 0.738 0.974
7 F 0.238 0.738 0.500
8 F 0.762 0.262 0.500
9 F 0.764 0.262 0.026
10 F 0.764 0.738 0.502

=====

# Zr2PdRhF

A relaxed structure of Zr2PdRhF (PBE, Alexandria).

Output
- space group = P4/mmm
- spin magnetization (μB per atom) = 0.00
- total energy (eV/atom) = -6.47
- formation energy without anion corrections (eV per atom) = -0.170
- calculated volume (Å³ per atom) = 20.2

a b c (Å): 5.045 5.045 3.961
angles (deg): 90.00 90.00 90.00
Atoms (fractional coordinates):
1 Zr 0.000 0.500 0.000
2 Zr 0.500 0.000 0.000
3 Pd 0.000 0.000 0.500
4 Rh 0.500 0.500 0.000
5 F 0.500 0.500 0.500

=====

# Pd2Ru2F

A relaxed structure of Pd2Ru2F (PBE, Alexandria).

Output
- space group = P4/mbm
- distance to the lowest polymorph of the same formula (meV/atom) = 0.0
- spin magnetization (μB per atom) = 0.00
- total energy (eV/atom) = -5.71
- formation energy without anion corrections (eV per atom) = 0.451
- calculated volume (Å³ per atom) = 15.6

a b c (Å): 7.524 7.524 2.762
angles (deg): 90.00 90.00 90.00
Atoms (fractional coordinates):
1 Pd 0.175 0.325 0.000
2 Pd 0.325 0.825 0.000
3 Pd 0.675 0.175 0.000
4 Pd 0.825 0.675 0.000
5 Ru 0.120 0.620 0.500
6 Ru 0.380 0.120 0.500
7 Ru 0.620 0.880 0.500
8 Ru 0.880 0.380 0.500
9 F 0.000 0.000 0.500
10 F 0.500 0.500 0.500